No. 1
The following is a GGA-PBE calculation of an optimized crystal structure of KY2Au, from Alexandria via LeMat-Bulk.

Summary:
- calculated density (g/cm3) = 5.8
- energy of formation from the pure elements (eV/f.u.) = 1.38
- E above lowest polymorph (eV/atom) = 0.535
- size of the total moment (μB per cell) = 0.00

Unit cell a=5.5056 b=5.5056 c=5.5056 alpha=60.00 beta=60.00 gamma=60.00
Element x y z (fractional)
K  0.0000  0.0000  0.0000
Y  0.2500  0.2500  0.2500
Y  0.5000  0.5000  0.5000
Au  0.7500  0.7500  0.7500

No. 2
The following is a GGA-PBE calculation of an optimized crystal structure of NdDy6Er2Tm, from Alexandria via LeMat-Bulk.

Summary:
- calculated density (g/cm3) = 8.4
- energy of formation from the pure elements (eV/f.u.) = 1.20
- size of the total moment (μB per cell) = 0.00

Unit cell a=8.7539 b=8.7539 c=9.4707 alpha=93.44 beta=93.44 gamma=117.55
Element x y z (fractional)
Nd  0.0263  0.9737  0.7500
Nd  0.9737  0.0263  0.2500
Dy  0.0149  0.5639  0.6835
Dy  0.1232  0.7524  0.0565
Dy  0.2476  0.8768  0.4435
Dy  0.2916  0.5100  0.8822
Dy  0.4361  0.9851  0.8165
Dy  0.4900  0.7084  0.6178
Dy  0.5100  0.2916  0.3822
Dy  0.5639  0.0149  0.1835
Dy  0.7084  0.4900  0.1178
Dy  0.7524  0.1232  0.5565
Dy  0.8768  0.2476  0.9435
Dy  0.9851  0.4361  0.3165
Er  0.2007  0.3057  0.5472
Er  0.3057  0.2007  0.0472
Er  0.6943  0.7993  0.9528
Er  0.7993  0.6943  0.4528
Tm  0.4102  0.5898  0.2500
Tm  0.5898  0.4102  0.7500

No. 3
The following is a GGA-PBE calculation of an optimized crystal structure of AcNdHo2Hg4, from Alexandria via LeMat-Bulk.

Summary:
- calculated density (g/cm3) = 11.0
- energy of formation from the pure elements (eV/f.u.) = -3.53
- size of the total moment (μB per cell) = 0.85

Unit cell a=9.4969 b=9.4969 c=9.4969 alpha=33.01 beta=33.01 gamma=33.01
Element x y z (fractional)
Ac  0.0000  0.0000  0.0000
Nd  0.5000  0.5000  0.5000
Ho  0.2469  0.2469  0.2469
Ho  0.7531  0.7531  0.7531
Hg  0.1272  0.1272  0.1272
Hg  0.3803  0.3803  0.3803
Hg  0.6197  0.6197  0.6197
Hg  0.8728  0.8728  0.8728

No. 4
The following is a GGA-PBE calculation of an optimized crystal structure of HoTaNb, from Alexandria via LeMat-Bulk.

Summary:
- calculated density (g/cm3) = 10.6
- energy of formation from the pure elements (eV/f.u.) = 1.39
- size of the total moment (μB per cell) = 0.00

Unit cell a=6.8050 b=6.8050 c=6.8050 alpha=43.80 beta=43.80 gamma=43.80
Element x y z (fractional)
Ho  0.1149  0.1149  0.1149
Ho  0.8851  0.8851  0.8851
Ta  0.4285  0.4285  0.4285
Ta  0.5715  0.5715  0.5715
Nb  0.2924  0.2924  0.2924
Nb  0.7076  0.7076  0.7076

No. 5
The following is a GGA-PBE calculation of an optimized crystal structure of KTcSe2, from Alexandria via LeMat-Bulk.

Summary:
- uncorrected formation energy (eV per atom) = 0.083
- calculated density (g/cm3) = 5.1
- E above lowest polymorph (eV/atom) = 0.575
- size of the total moment (μB per cell) = 0.31

Unit cell a=3.1180 b=3.1180 c=9.9167 alpha=90.00 beta=90.00 gamma=90.00
Element x y z (fractional)
K  0.0000  0.0000  0.0000
Tc  0.5000  0.5000  0.7001
Se  0.0000  0.0000  0.5839
Se  0.5000  0.5000  0.2433

No. 6
The following is a GGA-PBE calculation of an optimized crystal structure of CeThCdHg, from Alexandria via LeMat-Bulk.

Summary:
- calculated density (g/cm3) = 10.1
- energy of formation from the pure elements (eV/f.u.) = -0.55
- E above lowest polymorph (eV/atom) = 0.051
- size of the total moment (μB per cell) = 1.82

Unit cell a=5.4221 b=5.4221 c=5.4221 alpha=60.00 beta=60.00 gamma=60.00
Element x y z (fractional)
Ce  0.0000  0.0000  0.0000
Th  0.5000  0.5000  0.5000
Cd  0.7500  0.7500  0.7500
Hg  0.2500  0.2500  0.2500

No. 7
The following is a GGA-PBE calculation of an optimized crystal structure of BaCaCeNbO6, from Alexandria via LeMat-Bulk.

Summary:
- uncorrected formation energy (eV per atom) = -2.934
- calculated density (g/cm3) = 5.5
- E above lowest polymorph (eV/atom) = 0.000
- size of the total moment (μB per cell) = 2.10

Unit cell a=5.9657 b=5.9701 c=8.5659 alpha=89.91 beta=89.97 gamma=89.76
Element x y z (fractional)
Ba  0.0118  0.4836  0.2500
Ba  0.9882  0.5164  0.7500
Ca  0.4853  0.0201  0.7494
Ca  0.5147  0.9799  0.2506
Ce  0.0000  0.0000  0.5000
Ce  0.5000  0.5000  0.0000
Nb  0.0000  0.0000  0.0000
Nb  0.5000  0.5000  0.5000
O  0.0850  0.0309  0.7661
O  0.1838  0.7152  0.0065
O  0.2149  0.6839  0.4985
O  0.2858  0.1764  0.0591
O  0.3246  0.2133  0.4416
O  0.4607  0.4209  0.7340
O  0.5393  0.5791  0.2660
O  0.6754  0.7867  0.5584
O  0.7142  0.8236  0.9409
O  0.7851  0.3161  0.5015
O  0.8162  0.2848  0.9935
O  0.9150  0.9691  0.2339

No. 8
The following is a GGA-PBE calculation of an optimized crystal structure of NaP2H6, from Alexandria via LeMat-Bulk.

Summary:
- calculated density (g/cm3) = 1.1
- DFT total energy (eV/atom) = -3.5686
- size of the total moment (μB per cell) = 0.00

Unit cell a=7.0774 b=7.0774 c=6.3931 alpha=109.35 beta=109.35 gamma=94.40
Element x y z (fractional)
Na  0.0489  0.9511  0.7500
Na  0.9511  0.0489  0.2500
P  0.1040  0.4812  0.3150
P  0.4812  0.1040  0.8150
P  0.5188  0.8960  0.1850
P  0.8960  0.5188  0.6850
H  0.0553  0.6875  0.3507
H  0.1872  0.4881  0.1416
H  0.2981  0.5560  0.5102
H  0.3125  0.9447  0.1493
H  0.4440  0.7019  0.9898
H  0.4881  0.1872  0.6416
H  0.5119  0.8128  0.3584
H  0.5560  0.2981  0.0102
H  0.6875  0.0553  0.8507
H  0.7019  0.4440  0.4898
H  0.8128  0.5119  0.8584
H  0.9447  0.3125  0.6493

> Which value of calculated density does entry 2 give?

8.4 g/cm3